#A
Density functional theory data (PBE-GGA) for a relaxed structure of TbCuOs.

Unit cell a=4.9617 b=4.9617 c=6.3157 alpha=81.44 beta=127.83 gamma=114.12
Element x y z (fractional)
Tb: 0.7465 0.3483 0.0948
Os: 0.2420 0.9942 0.2362
Cu: 0.0000 0.0000 0.5000
Cu: 0.5000 0.5000 0.5000
Tb: 0.2535 0.6517 0.9052
Os: 0.7580 0.0058 0.7638

Calculated values
Size of the total moment (μB/f.u.): 0.00

#B
Density functional theory data (PBE-GGA) for a relaxed structure of TbCuOs.

Unit cell a=5.1749 b=5.3515 c=5.3515 alpha=58.25 beta=61.09 gamma=61.09
Element x y z (fractional)
Os: 0.5000 0.0000 0.0000
Cu: 0.5000 0.0000 0.5000
Os: 0.0000 0.0000 0.0000
Tb: 0.1196 0.6304 0.6304
Cu: 0.5000 0.5000 0.0000
Tb: 0.8804 0.3696 0.3696

Calculated values
Size of the total moment (μB/f.u.): 0.00

Stability, lowest: #A

#A
Density functional theory data (PBE-GGA) for a relaxed structure of Cu2TcOs.

Unit cell a=2.6319 b=2.6319 c=8.8532 alpha=90.00 beta=90.00 gamma=115.86
Element x y z (fractional)
Os: 0.0000 0.0000 0.4993
Cu: 0.0000 0.0000 0.0084
Cu: 0.5000 0.5000 0.2417
Tc: 0.5000 0.5000 0.7505

Calculated values
Size of the total moment (μB/f.u.): 0.00

#B
Density functional theory data (PBE-GGA) for a relaxed structure of Cu2TcOs.

Unit cell a=4.2002 b=4.2002 c=4.2002 alpha=60.00 beta=60.00 gamma=60.00
Element x y z (fractional)
Cu: 0.7500 0.7500 0.7500
Os: 0.0000 0.0000 0.0000
Cu: 0.2500 0.2500 0.2500
Tc: 0.5000 0.5000 0.5000

Calculated values
Size of the total moment (μB/f.u.): 0.00

#C
Density functional theory data (PBE-GGA) for a relaxed structure of Cu2TcOs.

Unit cell a=8.6973 b=8.6973 c=8.6973 alpha=17.91 beta=17.91 gamma=17.91
Element x y z (fractional)
Cu: 0.9971 0.9971 0.9971
Os: 0.4996 0.4996 0.4996
Cu: 0.2528 0.2528 0.2528
Tc: 0.7506 0.7506 0.7506

Calculated values
Size of the total moment (μB/f.u.): 0.00

Stability, lowest: #B